Here is CaAsSe2S after structural relaxation from Alexandria via LeMat-Bulk. Energies are from GGA-PBE.

Results
Raw formation energy, eV/atom: 0.718
Calculated total energy, eV/atom: -2.83
Energy above the lowest structure with this stoichiometry, eV per atom: 0.9193

a b c (Å): 5.393 5.393 5.726
angles (deg): 90.00 90.00 90.00
Space group P4/mmm (No. 123)
One atom of each set of equivalent atoms:
Ca (0.000, 0.000, 0.000)
As (0.000, 0.000, 0.500)
Se (0.000, 0.500, 0.000)
S (0.500, 0.500, 0.500)